1.
A relaxed structure of BaCdNiSe3, computed with PBE.

Cell: 7.408 7.408 10.169 Å, 90.00 90.00 147.06°
Atoms (fractional coordinates):
Ba (0.236, 0.764, 0.750)
Ba (0.764, 0.236, 0.250)
Cd (0.478, 0.522, 0.250)
Cd (0.522, 0.478, 0.750)
Ni (0.000, 0.000, 0.000)
Ni (0.000, 0.000, 0.500)
Se (0.085, 0.915, 0.250)
Se (0.377, 0.623, 0.036)
Se (0.377, 0.623, 0.464)
Se (0.623, 0.377, 0.536)
Se (0.623, 0.377, 0.964)
Se (0.915, 0.085, 0.750)

Output
* M_tot: 0.3330 μB/atom
* distance to the lowest polymorph of the same formula: 0.68 eV/f.u.

***

2.
A relaxed structure of BaNpCd, computed with PBE.

Cell: 5.335 5.335 5.335 Å, 60.00 60.00 60.00°
Atoms (fractional coordinates):
Ba (0.000, 0.000, 0.000)
Np (0.250, 0.250, 0.250)
Cd (0.500, 0.500, 0.500)

Output
* M_tot: 1.6155 μB/atom
* electronic total energy: -4.2877 eV per atom

***

3.
A relaxed structure of Ba2CdO3, computed with PBE.

Cell: 3.751 3.751 8.915 Å, 90.00 90.00 120.00°
Atoms (fractional coordinates):
Ba (0.333, 0.667, 0.186)
Ba (0.667, 0.333, 0.814)
Cd (0.000, 0.000, 0.500)
O (0.000, 0.000, 0.000)
O (0.333, 0.667, 0.636)
O (0.667, 0.333, 0.364)

Output
* distance to the lowest polymorph of the same formula: 0.29 eV/f.u.

***

4.
A relaxed structure of Ba2CdO3, computed with PBE.

Cell: 7.543 7.543 7.543 Å, 151.63 146.12 44.76°
Atoms (fractional coordinates):
Ba (0.151, 0.151, 0.000)
Ba (0.849, 0.849, 0.000)
Cd (0.500, 0.500, 0.000)
O (0.000, 0.500, 0.500)
O (0.338, 0.338, 0.000)
O (0.662, 0.662, 0.000)

Output
* distance to the lowest polymorph of the same formula: 0.00 eV/f.u.

***

5.
A relaxed structure of Ba4CdO, computed with PBE.

Cell: 3.724 3.724 15.799 Å, 90.00 90.00 90.00°
Atoms (fractional coordinates):
Ba (0.000, 0.000, 0.102)
Ba (0.000, 0.000, 0.898)
Ba (0.500, 0.500, 0.347)
Ba (0.500, 0.500, 0.653)
Cd (0.000, 0.000, 0.500)
O (0.500, 0.500, 0.000)

Output
* electronic total energy: -2.8471 eV per atom

***

6.
A relaxed structure of BaCd2O3, computed with PBE.

Cell: 3.567 3.567 8.420 Å, 90.00 90.00 120.00°
Atoms (fractional coordinates):
Ba (0.000, 0.000, 0.000)
Cd (0.333, 0.667, 0.650)
Cd (0.667, 0.333, 0.350)
O (0.000, 0.000, 0.500)
O (0.333, 0.667, 0.198)
O (0.667, 0.333, 0.802)

Output
* electronic total energy: -4.5184 eV per atom

***

7.
A relaxed structure of BaCd3O4, computed with PBE.

Cell: 4.995 5.000 4.998 Å, 90.00 90.00 90.00°
Atoms (fractional coordinates):
Ba (0.000, 0.000, 0.000)
Cd (0.000, 0.500, 0.501)
Cd (0.500, 0.000, 0.498)
Cd (0.500, 0.500, 0.999)
O (0.000, 0.000, 0.500)
O (0.000, 0.500, 0.994)
O (0.500, 0.000, 0.002)
O (0.500, 0.500, 0.497)

Output
* electronic total energy: -4.2699 eV per atom

***

8.
A relaxed structure of BaCd3O4, computed with PBE.

Cell: 4.984 4.984 4.984 Å, 90.00 90.00 90.00°
Atoms (fractional coordinates):
Ba (0.000, 0.000, 0.000)
Cd (0.000, 0.500, 0.500)
Cd (0.500, 0.000, 0.500)
Cd (0.500, 0.500, 0.000)
O (0.000, 0.000, 0.500)
O (0.000, 0.500, 0.000)
O (0.500, 0.000, 0.000)
O (0.500, 0.500, 0.500)

Output
* electronic total energy: -4.2668 eV per atom